[1]
Zn2Au (meta-GGA SCAN, single point on PBEsol structure); SG = No. 227; energy of formation = -188.3 meV/atom
1.0
-4.979 -1.308 -6.364
-7.819 -2.059 1.276
-5.967 5.341 -1.693
Zn Au
16 8
direct
0.201 0.799 0.201 Zn
0.201 0.799 0.799 Zn
0.049 0.451 0.049 Zn
0.201 0.201 0.799 Zn
0.799 0.799 0.201 Zn
0.625 0.625 0.625 Zn
0.625 0.625 0.125 Zn
0.451 0.049 0.451 Zn
0.799 0.201 0.799 Zn
0.451 0.049 0.049 Zn
0.049 0.451 0.451 Zn
0.625 0.125 0.625 Zn
0.451 0.451 0.049 Zn
0.049 0.049 0.451 Zn
0.125 0.625 0.625 Zn
0.799 0.201 0.201 Zn
0.849 0.849 0.454 Au
0.796 0.401 0.401 Au
0.401 0.796 0.401 Au
0.849 0.454 0.849 Au
0.401 0.401 0.796 Au
0.401 0.401 0.401 Au
0.454 0.849 0.849 Au
0.849 0.849 0.849 Au

=====

[2]
Y2CoRh (meta-GGA SCAN, single point on PBEsol structure); SG = No. 123; energy of formation = -565.7 meV/atom
1.0
3.319 0.000 0.000
0.000 3.319 0.000
0.000 0.000 6.726
Y Co Rh
2 1 1
direct
0.000 0.000 0.244 Y
0.000 0.000 0.756 Y
0.500 0.500 0.000 Co
0.500 0.500 0.500 Rh

=====

[3]
LaGe3Pd (meta-GGA SCAN, single point on PBEsol structure); SG = No. 221; energy of formation = -210.0 meV/atom
1.0
-2.540 -4.070 0.601
0.536 -1.027 -4.694
4.079 -2.399 0.991
Pd Ge La
1 3 1
direct
0.000 0.000 0.000 Pd
0.000 0.500 0.000 Ge
0.500 0.000 0.000 Ge
0.000 0.000 0.500 Ge
0.500 0.500 0.500 La

=====

Number 1: M_tot 0.00 μB per cell, calculated density 11.2 Mg/m³. Number 2: M_tot 0.55 μB per cell, calculated density 7.6 Mg/m³. Number 3: M_tot 0.00 μB per cell, calculated density 6.8 Mg/m³.